A plane-wave DFT calculation with PBE was carried out for Ca2CdNiP after structural relaxation.

Output
**DFT formation energy**: -43.9 kJ per mole of atoms
**Energy relative to the lowest polymorph listed for this composition**: 0.0 kJ per mole of atoms
**E_tot**: -3.6767 eV/atom
**Total magnetic moment**: 0.000 μB per cell

Unit cell a=5.5296 b=5.5296 c=4.1905 alpha=90.00 beta=90.00 gamma=90.00
Space group P4/mmm (No. 123)
Inequivalent atoms, fractional coordinates:
Ca1 0.0000 0.5000 0.0000 x2
Cd1 0.0000 0.0000 0.5000 x1
Ni1 0.5000 0.5000 0.5000 x1
P1 0.5000 0.5000 0.0000 x1